Below is a relaxed structure of KCo2As2HO8, with properties calculated at the PBE+U level.

Unit cell a=5.098 b=8.896 c=16.077 alpha=95.09 beta=90.00 gamma=90.00
Last column: magnetic moment on the atom in μB.
Fractional positions:
1 K 0.886 0.500 0.750  0.00
2 K 0.114 0.500 0.250  0.00
3 K 0.901 0.000 0.250  0.00
4 K 0.099 0.000 0.750  0.00
5 Co 0.758 0.584 0.004  2.72
6 Co 0.758 0.416 0.496  2.72
7 Co 0.242 0.416 0.996  2.72
8 Co 0.242 0.584 0.504  2.72
9 Co 0.758 0.083 0.499  2.72
10 Co 0.758 0.917 0.001  2.72
11 Co 0.242 0.917 0.501  2.72
12 Co 0.242 0.083 0.999  2.72
13 As 0.730 0.733 0.395  0.02
14 As 0.730 0.267 0.105  0.02
15 As 0.270 0.267 0.605  0.02
16 As 0.270 0.733 0.895  0.02
17 As 0.732 0.767 0.609  0.02
18 As 0.732 0.233 0.891  0.02
19 As 0.268 0.233 0.391  0.02
20 As 0.268 0.767 0.109  0.02
21 H 0.469 0.742 0.759  0.00
22 H 0.469 0.258 0.741  0.00
23 H 0.531 0.258 0.241  0.00
24 H 0.531 0.742 0.259  0.00
25 O 0.712 0.712 0.286  0.02
26 O 0.712 0.288 0.214  0.02
27 O 0.288 0.288 0.714  0.02
28 O 0.288 0.712 0.786  0.02
29 O 0.910 0.578 0.420  0.06
30 O 0.910 0.422 0.080  0.06
31 O 0.090 0.422 0.580  0.06
32 O 0.090 0.578 0.920  0.06
33 O 0.904 0.898 0.421  0.06
34 O 0.904 0.102 0.079  0.06
35 O 0.096 0.102 0.579  0.06
36 O 0.096 0.898 0.921  0.06
37 O 0.408 0.737 0.428  0.06
38 O 0.408 0.263 0.072  0.06
39 O 0.592 0.263 0.572  0.06
40 O 0.592 0.737 0.928  0.06
41 O 0.712 0.783 0.715  0.02
42 O 0.712 0.217 0.785  0.02
43 O 0.288 0.217 0.285  0.02
44 O 0.288 0.783 0.215  0.02
45 O 0.061 0.765 0.578  0.06
46 O 0.061 0.235 0.922  0.06
47 O 0.939 0.235 0.422  0.06
48 O 0.939 0.765 0.078  0.06
49 O 0.588 0.597 0.572  0.06
50 O 0.588 0.403 0.928  0.06
51 O 0.412 0.403 0.428  0.06
52 O 0.412 0.597 0.072  0.06
53 O 0.582 0.925 0.573  0.06
54 O 0.582 0.075 0.927  0.06
55 O 0.418 0.075 0.427  0.06
56 O 0.418 0.925 0.073  0.06

DFT total energy: -328.19 eV per cell
total moment: 6.00 μB/f.u.
crystal system: monoclinic
volume: 726 Å³/cell